Density functional theory data (PBE) for a relaxed YCoRe crystal.

Unit cell a=4.487 b=4.487 c=4.487 alpha=60.00 beta=60.00 gamma=60.00
Positions (direct):
Y 0.000 0.000 0.000
Co 0.750 0.750 0.750
Re 0.250 0.250 0.250

Summary:
Space-group type: F-43m (216)
DFT formation energy in meV per atom: 1600.4
Magnetic moment in μB per atom: 1.12
Density in g cm⁻³: 8.7
VASP energy in eV/f.u.: -21.22
Energy above the most stable polymorph in this dataset in eV per atom: 1.737